(1)
## LaDy3Mg4 (PBE)

Data for a relaxed structure of LaDy3Mg4.

a = 5.411 Å, b = 7.676 Å, c = 10.815 Å
α = 90.00°, β = 90.00°, γ = 90.00°
Fractional coordinates of all 16 atoms:
Mg 0.500 0.757 0.000
Mg 0.500 0.757 0.500
Mg 0.500 0.243 0.000
Mg 0.500 0.243 0.500
Mg 0.999 0.757 0.750
Mg 0.001 0.757 0.250
Mg 0.001 0.243 0.250
Mg 0.999 0.243 0.750
Dy 0.000 0.000 0.000
Dy 0.000 0.000 0.500
Dy 0.499 0.000 0.750
Dy 0.501 0.000 0.250
Dy 0.499 0.500 0.750
Dy 0.501 0.500 0.250
La 0.000 0.500 0.000
La 0.000 0.500 0.500

Properties
Final energy (eV per atom): -3.23
Crystal system: tetragonal
Space group: P4/mmm, No. 123
DFT formation energy (eV per formula unit): -0.69
Calculated volume (Å³ per cell): 449

(2)
## La3DyMg4 (PBE)

Data for a relaxed structure of La3DyMg4.

a = 3.912 Å, b = 3.912 Å, c = 15.732 Å
α = 90.00°, β = 90.00°, γ = 90.00°
Fractional coordinates of all 8 atoms:
Mg 0.000 0.000 0.886
Mg 0.000 0.000 0.114
Mg 0.000 0.000 0.372
Mg 0.000 0.000 0.628
Dy 0.500 0.500 0.000
La 0.500 0.500 0.243
La 0.500 0.500 0.500
La 0.500 0.500 0.757

Properties
Final energy (eV per atom): -3.32
Crystal system: tetragonal
Space group: P4/mmm, No. 123
DFT formation energy (eV per formula unit): -0.82
Calculated volume (Å³ per cell): 241

(3)
## La2DyMg (PBE)

Data for a relaxed structure of La2DyMg.

a = 3.529 Å, b = 3.529 Å, c = 12.889 Å
α = 82.13°, β = 82.13°, γ = 60.00°
Fractional coordinates of all 4 atoms:
Mg 0.000 0.000 0.000
La 0.090 0.090 0.731
La 0.910 0.910 0.269
Dy 0.500 0.500 0.500

Properties
Final energy (eV per atom): -3.83
Crystal system: trigonal
Space group: R-3m, No. 166
DFT formation energy (eV per formula unit): 0.74
Calculated volume (Å³ per cell): 137

(4)
## LaDyMg (PBE)

Data for a relaxed structure of LaDyMg.

a = 3.788 Å, b = 3.788 Å, c = 7.039 Å
α = 105.61°, β = 105.61°, γ = 90.00°
Site moments in Bohr magnetons follow the coordinates.
Fractional coordinates of all 3 atoms:
Mg 0.674 0.674 0.347  0.00
Dy 0.320 0.320 0.640  0.12
La 0.006 0.006 0.013  0.07

Properties
Final energy (eV per atom): -3.75
Crystal system: tetragonal
Space group: I4mm, No. 107
DFT formation energy (eV per formula unit): -0.12
Calculated volume (Å³ per cell): 93

(5)
## La2DyMg6 (PBE)

Data for a relaxed structure of La2DyMg6.

a = 3.375 Å, b = 9.228 Å, c = 9.228 Å
α = 59.99°, β = 89.99°, γ = 89.99°
Fractional coordinates of all 9 atoms:
La 0.000 0.333 0.333
La 0.000 0.667 0.667
Dy 0.000 0.000 0.000
Mg 0.499 0.672 0.000
Mg 0.501 0.000 0.328
Mg 0.501 0.328 0.000
Mg 0.500 0.672 0.328
Mg 0.499 0.000 0.672
Mg 0.500 0.328 0.672

Properties
Final energy (eV per atom): -2.76
Crystal system: hexagonal
Space group: P6/mmm, No. 191
DFT formation energy (eV per formula unit): -0.85
Calculated volume (Å³ per cell): 249

(6)
## La8Dy2Mg (PBE)

Data for a relaxed structure of La8Dy2Mg.

a = 5.751 Å, b = 9.093 Å, c = 9.122 Å
α = 118.72°, β = 108.37°, γ = 90.00°
Fractional coordinates of all 11 atoms:
La 0.584 0.439 0.168
La 0.319 0.057 0.637
La 0.129 0.169 0.257
La 0.069 0.719 0.138
La 0.871 0.831 0.743
La 0.681 0.943 0.363
La 0.416 0.561 0.832
La 0.931 0.281 0.862
Dy 0.233 0.605 0.466
Dy 0.767 0.395 0.534
Mg 0.500 0.000 0.000

Properties
Final energy (eV per atom): -4.52
Crystal system: monoclinic
Space group: C2/m, No. 12
DFT formation energy (eV per formula unit): 0.50
Calculated volume (Å³ per cell): 390

(7)
## La6DyMg5 (PBE)

Data for a relaxed structure of La6DyMg5.

a = 5.641 Å, b = 7.930 Å, c = 8.967 Å
α = 90.00°, β = 108.36°, γ = 90.00°
Fractional coordinates of all 12 atoms:
Mg 0.665 0.500 0.335
Mg 0.341 0.000 0.677
Mg 0.000 0.500 0.000
Mg 0.659 0.000 0.323
Mg 0.335 0.500 0.665
Dy 0.000 0.000 0.000
La 0.832 0.747 0.661
La 0.832 0.253 0.661
La 0.500 0.261 0.000
La 0.500 0.739 0.000
La 0.168 0.747 0.339
La 0.168 0.253 0.339

Properties
Final energy (eV per atom): -3.58
Crystal system: monoclinic
Space group: P2/m, No. 10
DFT formation energy (eV per formula unit): -0.83
Calculated volume (Å³ per cell): 381

(8)
## LaDy2Mg3 (PBE)

Data for a relaxed structure of LaDy2Mg3.

a = 3.839 Å, b = 3.839 Å, c = 11.579 Å
α = 90.00°, β = 90.00°, γ = 90.00°
Fractional coordinates of all 6 atoms:
La 0.500 0.500 0.500
Dy 0.500 0.500 0.840
Dy 0.500 0.500 0.160
Mg 0.000 0.000 0.000
Mg 0.000 0.000 0.681
Mg 0.000 0.000 0.319

Properties
Final energy (eV per atom): -3.24
Crystal system: tetragonal
Space group: P4/mmm, No. 123
DFT formation energy (eV per formula unit): -0.53
Calculated volume (Å³ per cell): 171